Compound: Pr5Sm2Tm6
Source: Alexandria via LeMat-Bulk
Functional: PBE
Structure: optimized geometry

Cell lengths 11.6903, 20.5940, 3.6049 Å; angles 90.00, 90.00, 90.00 degrees
Space group Pbam (No. 55)
Inequivalent atoms, fractional coordinates:
Pr1 0.0000 0.0000 0.0000 (multiplicity 2)
Pr2 0.0834 0.2756 0.0000 (multiplicity 4)
Pr3 0.1996 0.5505 0.0000 (multiplicity 4)
Sm1 0.1729 0.7143 0.5000 (multiplicity 4)
Tm1 0.0626 0.4209 0.5000 (multiplicity 4)
Tm2 0.0773 0.1330 0.5000 (multiplicity 4)
Tm3 0.1789 0.8663 0.0000 (multiplicity 4)

The value obtained for the total magnetization is 0.00 μB/f.u. The value obtained for the energy is -4.53 eV per atom.